A relaxed structure of Li6Ni2Ir. Source: Alexandria via LeMat-Bulk, functional PBE.

Lattice parameters (Å, degrees): 5.539 5.539 8.209 98.64 98.64 104.24
Sites, in units of the cell vectors:
Li 0.112 0.884 0.588
Li 0.116 0.888 0.912
Li 0.196 0.447 0.636
Li 0.211 0.463 0.979
Li 0.447 0.196 0.136
Li 0.463 0.211 0.479
Li 0.537 0.789 0.521
Li 0.553 0.804 0.864
Li 0.789 0.537 0.021
Li 0.804 0.553 0.364
Li 0.884 0.112 0.088
Li 0.888 0.116 0.412
Ni 0.219 0.453 0.297
Ni 0.453 0.219 0.797
Ni 0.547 0.781 0.203
Ni 0.781 0.547 0.703
Ir 0.145 0.855 0.250
Ir 0.855 0.145 0.750

Values from the calculation:
Formation energy (kJ/mol of formula units): 17
Fermi-level density of states (states/eV/atom): 0.66